1 | Entry from Alexandria via LeMat-Bulk: a relaxed structure of CeEr2Cu (PBE-GGA).

It has space group R-3m (No. 166, hexagonal axes), with a = 3.4991 Å, b = 3.4991 Å, c = 29.5897 Å, α = 90.00°, β = 90.00° and γ = 120.00°. The distinct sites, in fractional coordinates, are Ce at (0.0000, 0.0000, 0.0000), Er at (0.0000, 0.0000, 0.2357) and Cu at (0.0000, 0.0000, 0.5000).

Its calculated volume is 313.7 Å³ per cell.



2 | Entry from Alexandria via LeMat-Bulk: a relaxed structure of CeEr2Cu (PBE-GGA).

It has space group P4/mmm (No. 123), with a = 3.458 Å, b = 3.458 Å, c = 8.476 Å, α = 90.00°, β = 90.00° and γ = 90.00°. The distinct sites, in fractional coordinates, are Ce at (0.000, 0.000, 0.000), Er at (0.500, 0.500, 0.302) and Cu at (0.000, 0.000, 0.500).

Its calculated volume is 101.4 Å³ per cell.



Which one is most stable, and which one is least stable? 2 is the most stable of them, while 1 is the least stable.



1 | Entry from Alexandria via LeMat-Bulk: a relaxed structure of Ce2Ga5Cu3 (PBE-GGA).

It has space group P-4m2 (No. 115), with a = 4.228 Å, b = 4.228 Å, c = 10.220 Å, α = 90.00°, β = 90.00° and γ = 90.00°. The distinct sites, in fractional coordinates, are Ce at (0.000, 0.500, 0.243), Ga at (0.000, 0.000, 0.500), Ga at (0.000, 0.500, 0.637), Ga at (0.000, 0.500, 0.879), Cu at (0.000, 0.000, 0.000), Cu at (0.500, 0.500, 0.000) and Cu at (0.500, 0.500, 0.500).

Its calculated volume is 182.7 Å³ per cell.



2 | Entry from Alexandria via LeMat-Bulk: a relaxed structure of Ce2Ga5Cu3 (PBE-GGA).

It has space group Ibam (No. 72), with a = 10.137 Å, b = 11.998 Å, c = 5.965 Å, α = 90.00°, β = 90.00° and γ = 90.00°. The distinct sites, in fractional coordinates, are Ce at (0.239, 0.130, 0.000), Ga at (0.000, 0.000, 0.250), Ga at (0.000, 0.264, 0.250), Ga at (0.149, 0.390, 0.000), Cu at (0.000, 0.500, 0.250) and Cu at (0.117, 0.132, 0.500).

Its calculated volume is 725.4 Å³ per cell.



Which one is most stable, and which one is least stable? 2 is the most stable of them, while 1 is the least stable.



1 | Entry from Alexandria via LeMat-Bulk: a relaxed structure of CePuGaCu (PBE-GGA).

It has space group P3m1 (No. 156), with a = 4.8685 Å, b = 4.8685 Å, c = 4.7503 Å, α = 90.00°, β = 90.00° and γ = 120.00°. The distinct sites, in fractional coordinates, are Ce at (0.0000, 0.0000, 0.0000), Pu at (0.3333, 0.6667, 0.4670), Ga at (0.6667, 0.3333, 0.7326) and Cu at (0.6667, 0.3333, 0.2351).

Its calculated volume is 97.5 Å³ per cell.



2 | Entry from Alexandria via LeMat-Bulk: a relaxed structure of CePuGaCu (PBE-GGA).

It has space group F-43m (No. 216), with a = 6.918 Å, b = 6.918 Å, c = 6.918 Å, α = 90.00°, β = 90.00° and γ = 90.00°. The distinct sites, in fractional coordinates, are Ce at (0.000, 0.000, 0.000), Pu at (0.250, 0.250, 0.750), Ga at (0.250, 0.250, 0.250) and Cu at (0.000, 0.000, 0.500).

Its calculated volume is 331.0 Å³ per cell.



Which one is most stable, and which one is least stable? 2 is the most stable of them, while 1 is the least stable.



1 | Entry from Alexandria via LeMat-Bulk: a relaxed structure of CeGdCu (PBE-GGA).

It has space group P3m1 (No. 156), with a = 4.7506 Å, b = 4.7506 Å, c = 3.5826 Å, α = 90.00°, β = 90.00° and γ = 120.00°. The distinct sites, in fractional coordinates, are Ce at (0.0000, 0.0000, 0.0000), Gd at (0.3333, 0.6667, 0.3754) and Cu at (0.6667, 0.3333, 0.6877).

Its calculated volume is 70.0 Å³ per cell.



2 | Entry from Alexandria via LeMat-Bulk: a relaxed structure of CeGdCu (PBE-GGA).

It has space group I4mm (No. 107), with a = 3.508 Å, b = 3.508 Å, c = 12.220 Å, α = 90.00°, β = 90.00° and γ = 90.00°. The distinct sites, in fractional coordinates, are Ce at (0.000, 0.000, 0.000), Gd at (0.000, 0.000, 0.714) and Cu at (0.000, 0.000, 0.354).

Its calculated volume is 150.4 Å³ per cell.



Which one is most stable, and which one is least stable? 2 is the most stable of them, while 1 is the least stable.



1 | Entry from Alexandria via LeMat-Bulk: a relaxed structure of CeGd2Cu (PBE-GGA).

It has space group R-3m (No. 166, hexagonal axes), with a = 3.4139 Å, b = 3.4139 Å, c = 33.3073 Å, α = 90.00°, β = 90.00° and γ = 120.00°. The distinct sites, in fractional coordinates, are Ce at (0.0000, 0.0000, 0.0000), Gd at (0.0000, 0.0000, 0.4166) and Cu at (0.0000, 0.0000, 0.5000).

Its calculated volume is 336.2 Å³ per cell.



2 | Entry from Alexandria via LeMat-Bulk: a relaxed structure of CeGd2Cu (PBE-GGA).

It has space group P4/mmm (No. 123), with a = 5.357 Å, b = 5.357 Å, c = 3.501 Å, α = 90.00°, β = 90.00° and γ = 90.00°. The distinct sites, in fractional coordinates, are Ce at (0.000, 0.000, 0.000), Gd at (0.000, 0.500, 0.500) and Cu at (0.500, 0.500, 0.000).

Its calculated volume is 100.5 Å³ per cell.



Which one is most stable, and which one is least stable? 2 is the most stable of them, while 1 is the least stable.



1 | Entry from Alexandria via LeMat-Bulk: a relaxed structure of CeCuGeH (PBE-GGA).

It has space group P-3m1 (No. 164), with a = 4.1626 Å, b = 4.1626 Å, c = 8.3286 Å, α = 90.00°, β = 90.00° and γ = 120.00°. The distinct sites, in fractional coordinates, are Ce at (0.0000, 0.0000, 0.0000), Ce at (0.0000, 0.0000, 0.5000), Cu at (0.3333, 0.6667, 0.2378), Ge at (0.3333, 0.6667, 0.7184) and H at (0.3333, 0.6667, 0.0352).

Its calculated volume is 125.0 Å³ per cell.



2 | Entry from Alexandria via LeMat-Bulk: a relaxed structure of CeCuGeH (PBE-GGA).

It has space group P3m1 (No. 156), with a = 4.1805 Å, b = 4.1805 Å, c = 4.0760 Å, α = 90.00°, β = 90.00° and γ = 120.00°. The distinct sites, in fractional coordinates, are Ce at (0.0000, 0.0000, 0.0000), Cu at (0.6667, 0.3333, 0.5304), Ge at (0.3333, 0.6667, 0.4741) and H at (0.6667, 0.3333, 0.9607).

Its calculated volume is 61.7 Å³ per cell.



Which one is most stable, and which one is least stable? 2 is the most stable of them, while 1 is the least stable.



1 | Entry from Alexandria via LeMat-Bulk: a relaxed structure of CeHfCu (PBE-GGA).

It has space group P4/nmm (No. 129, origin choice 2), with a = 3.270 Å, b = 3.270 Å, c = 11.333 Å, α = 90.00°, β = 90.00° and γ = 90.00°. The distinct sites, in fractional coordinates, are Ce at (0.250, 0.250, 0.105), Hf at (0.250, 0.250, 0.692) and Cu at (0.250, 0.250, 0.444).

Its calculated volume is 121.1 Å³ per cell.



2 | Entry from Alexandria via LeMat-Bulk: a relaxed structure of CeHfCu (PBE-GGA).

It has space group I4mm (No. 107), with a = 3.228 Å, b = 3.228 Å, c = 12.189 Å, α = 90.00°, β = 90.00° and γ = 90.00°. The distinct sites, in fractional coordinates, are Ce at (0.000, 0.000, 0.000), Hf at (0.000, 0.000, 0.304) and Cu at (0.000, 0.000, 0.678).

Its calculated volume is 127.0 Å³ per cell.



3 | Entry from Alexandria via LeMat-Bulk: a relaxed structure of CeHfCu (PBE-GGA).

It has space group P3m1 (No. 156), with a = 4.7247 Å, b = 4.7247 Å, c = 3.3627 Å, α = 90.00°, β = 90.00° and γ = 120.00°. The distinct sites, in fractional coordinates, are Ce at (0.0000, 0.0000, 0.0000), Hf at (0.3333, 0.6667, 0.4956) and Cu at (0.6667, 0.3333, 0.5052).

Its calculated volume is 65.0 Å³ per cell.



Which one is most stable, and which one is least stable? 1 is the most stable of them, while 3 is the least stable.



1 | Entry from Alexandria via LeMat-Bulk: a relaxed structure of CeHfCu2 (PBE-GGA).

It has space group P4/mmm (No. 123), with a = 3.263 Å, b = 3.263 Å, c = 7.207 Å, α = 90.00°, β = 90.00° and γ = 90.00°. The distinct sites, in fractional coordinates, are Ce at (0.000, 0.000, 0.000), Hf at (0.000, 0.000, 0.500) and Cu at (0.500, 0.500, 0.295).

Its calculated volume is 76.7 Å³ per cell.



2 | Entry from Alexandria via LeMat-Bulk: a relaxed structure of CeHfCu2 (PBE-GGA).

It has space group R-3m (No. 166, hexagonal axes), with a = 4.7828 Å, b = 4.7828 Å, c = 11.7281 Å, α = 90.00°, β = 90.00° and γ = 120.00°. The distinct sites, in fractional coordinates, are Ce at (0.0000, 0.0000, 0.0000), Hf at (0.0000, 0.0000, 0.5000) and Cu at (0.0000, 0.0000, 0.2493).

Its calculated volume is 232.3 Å³ per cell.



Which one is most stable, and which one is least stable? 1 is the most stable of them, while 2 is the least stable.



1 | Entry from Alexandria via LeMat-Bulk: a relaxed structure of Ce2CuHg (PBE-GGA).

It has space group P2_1/m (No. 11), with a = 6.020 Å, b = 4.626 Å, c = 6.803 Å, α = 90.00°, β = 101.15° and γ = 90.00°. The distinct sites, in fractional coordinates, are Ce at (0.056, 0.250, 0.137), Ce at (0.377, 0.750, 0.554), Cu at (0.096, 0.250, 0.592) and Hg at (0.481, 0.750, 0.119).

Its calculated volume is 185.9 Å³ per cell.



2 | Entry from Alexandria via LeMat-Bulk: a relaxed structure of Ce2CuHg (PBE-GGA).

It has space group P4/mmm (No. 123), with a = 3.781 Å, b = 3.781 Å, c = 6.809 Å, α = 90.00°, β = 90.00° and γ = 90.00°. The distinct sites, in fractional coordinates, are Ce at (0.000, 0.000, 0.207), Cu at (0.500, 0.500, 0.000) and Hg at (0.500, 0.500, 0.500).

Its calculated volume is 97.4 Å³ per cell.



Which one is most stable, and which one is least stable? 2 is the most stable of them, while 1 is the least stable.



1 | Entry from Alexandria via LeMat-Bulk: a relaxed structure of CeHoCu2 (PBE-GGA).

It has space group P4/mmm (No. 123), with a = 3.428 Å, b = 3.428 Å, c = 7.216 Å, α = 90.00°, β = 90.00° and γ = 90.00°. The distinct sites, in fractional coordinates, are Ce at (0.000, 0.000, 0.000), Ho at (0.000, 0.000, 0.500) and Cu at (0.500, 0.500, 0.268).

Its calculated volume is 84.8 Å³ per cell.



2 | Entry from Alexandria via LeMat-Bulk: a relaxed structure of CeHoCu2 (PBE-GGA).

It has space group Fm-3m (No. 225), with a = 6.988 Å, b = 6.988 Å, c = 6.988 Å, α = 90.00°, β = 90.00° and γ = 90.00°. The distinct sites, in fractional coordinates, are Ce at (0.000, 0.000, 0.000), Ho at (0.000, 0.000, 0.500) and Cu at (0.250, 0.250, 0.250).

Its calculated volume is 341.3 Å³ per cell.



3 | Entry from Alexandria via LeMat-Bulk: a relaxed structure of CeHoCu2 (PBE-GGA).

It has space group P2_1/m (No. 11), with a = 4.056 Å, b = 3.967 Å, c = 10.662 Å, α = 90.00°, β = 100.96° and γ = 90.00°. The distinct sites, in fractional coordinates, are Ce at (0.046, 0.250, 0.093), Ho at (0.306, 0.750, 0.612), Cu at (0.159, 0.750, 0.318) and Cu at (0.419, 0.250, 0.838).

Its calculated volume is 168.4 Å³ per cell.



Which one is most stable, and which one is least stable? 1 is the most stable of them, while 3 is the least stable.



1 | Entry from Alexandria via LeMat-Bulk: a relaxed structure of CeHoCuPt (PBE-GGA).

It has space group Amm2 (No. 38), with a = 4.527 Å, b = 3.759 Å, c = 10.534 Å, α = 90.00°, β = 90.00° and γ = 90.00°. The distinct sites, in fractional coordinates, are Ce at (0.000, 0.000, 0.000), Ho at (0.500, 0.000, 0.722), Cu at (0.500, 0.000, 0.441) and Pt at (0.000, 0.000, 0.280).

Its calculated volume is 179.3 Å³ per cell.



2 | Entry from Alexandria via LeMat-Bulk: a relaxed structure of CeHoCuPt (PBE-GGA).

It has space group F-43m (No. 216), with a = 7.037 Å, b = 7.037 Å, c = 7.037 Å, α = 90.00°, β = 90.00° and γ = 90.00°. The distinct sites, in fractional coordinates, are Ce at (0.000, 0.000, 0.000), Ho at (0.000, 0.000, 0.500), Cu at (0.250, 0.250, 0.250) and Pt at (0.250, 0.250, 0.750).

Its calculated volume is 348.5 Å³ per cell.



Which one is most stable, and which one is least stable? 1 is the most stable of them, while 2 is the least stable.



1 | Entry from Alexandria via LeMat-Bulk: a relaxed structure of CeCuIr (PBE-GGA).

It has space group I4mm (No. 107), with a = 3.586 Å, b = 3.586 Å, c = 8.863 Å, α = 90.00°, β = 90.00° and γ = 90.00°. The distinct sites, in fractional coordinates, are Ce at (0.000, 0.000, 0.000), Cu at (0.000, 0.000, 0.688) and Ir at (0.000, 0.000, 0.349).

Its calculated volume is 114.0 Å³ per cell.



2 | Entry from Alexandria via LeMat-Bulk: a relaxed structure of CeCuIr (PBE-GGA).

It has space group P-6m2 (No. 187), with a = 4.3359 Å, b = 4.3359 Å, c = 3.5950 Å, α = 90.00°, β = 90.00° and γ = 120.00°. The distinct sites, in fractional coordinates, are Ce at (0.0000, 0.0000, 0.0000), Cu at (0.3333, 0.6667, 0.5000) and Ir at (0.6667, 0.3333, 0.5000).

Its calculated volume is 58.5 Å³ per cell.



3 | Entry from Alexandria via LeMat-Bulk: a relaxed structure of CeCuIr (PBE-GGA).

It has space group Cmcm (No. 63), with a = 4.209 Å, b = 9.970 Å, c = 5.383 Å, α = 90.00°, β = 90.00° and γ = 90.00°. The distinct sites, in fractional coordinates, are Ce at (0.000, 0.191, 0.250), Cu at (0.000, 0.500, 0.000) and Ir at (0.000, 0.106, 0.750).

Its calculated volume is 225.9 Å³ per cell.



Which one is most stable, and which one is least stable? 3 is the most stable of them, while 1 is the least stable.